VASP calculation (PBE) on a geometry-optimized GdTmMgAg structure.

a b c (Å): 5.2397 5.2397 5.2397
angles (deg): 60.00 60.00 60.00
Closest atoms and distances in Å follow each position.
Positions (direct):
Gd: 0.5000 0.5000 0.5000  4 Mg 3.21, 4 Ag 3.21
Tm: 0.0000 0.0000 0.0000  4 Mg 3.21, 4 Ag 3.21
Mg: 0.7500 0.7500 0.7500  4 Gd 3.21, 4 Tm 3.21
Ag: 0.2500 0.2500 0.2500  4 Tm 3.21, 4 Gd 3.21

Summary:
Theoretical density in g cm⁻³: 7.48
Energy of formation from the pure elements in eV per atom: -0.146
Space group: F-43m
DFT total energy in eV per cell: -23.58
Total moment in μB/cell: 7.47